[1]
Here is a geometry-optimized HoTaC2 structure from the Alexandria database. Energies are from GGA-PBE.

**Energy relative to the lowest polymorph listed for this composition**: 0 meV per atom
**Energy of formation from the pure elements**: -2.07 eV/f.u.
**Calculated density**: 11.72 g cm⁻³

Lattice parameters (Å, degrees): 3.2976 3.2976 16.7000 90.00 90.00 120.00
With the nearest neighbours (Å) after each atom.
Space group R-3m (No. 166, hexagonal axes)
Asymmetric unit:
Ho (0.0000, 0.0000, 0.0000) (multiplicity 3)  6 C 2.47
Ta (0.0000, 0.0000, 0.5000) (multiplicity 3)  6 C 2.26
C (0.0000, 0.0000, 0.2396) (multiplicity 6)  3 Ta 2.26, 3 Ho 2.47

***

[2]
Here is a geometry-optimized HoTa3C4 structure from the Alexandria database. Energies are from GGA-PBE.

**Energy of formation from the pure elements**: -4.29 eV/f.u.
**Calculated density**: 12.99 g cm⁻³

Lattice parameters (Å, degrees): 6.5365 9.1763 3.2211 90.00 90.00 90.00
With the nearest neighbours (Å) after each atom.
Space group Cmmm (No. 65)
Asymmetric unit:
Ho (0.0000, 0.0000, 0.0000) (multiplicity 2)  6 C 2.37-2.38
Ta (0.0000, 0.5000, 0.0000) (multiplicity 2)  6 C 2.21-2.22
Ta (0.2500, 0.2500, 0.5000) (multiplicity 4)  6 C 2.30
C (0.0000, 0.2578, 0.0000) (multiplicity 4)  5 Ta 2.22-2.30, 1 Ho 2.37
C (0.2315, 0.5000, 0.5000) (multiplicity 4)  4 Ta 2.21-2.30, 2 Ho 2.38

***

[3]
Here is a geometry-optimized HoTa2TcC4 structure from the Alexandria database. Energies are from GGA-PBE.

**Energy of formation from the pure elements**: -2.10 eV/f.u.
**Calculated density**: 10.99 g cm⁻³

Lattice parameters (Å, degrees): 3.2352 11.2379 11.1840 90.00 90.00 90.00
With the nearest neighbours (Å) after each atom.
Space group Cmcm (No. 63)
Asymmetric unit:
Ho (0.0000, 0.1173, 0.2500) (multiplicity 4)  6 C 2.47-2.60
Ta (0.0000, 0.3693, 0.0355) (multiplicity 8)  3 C 2.07-2.22
Tc (0.0000, 0.1482, 0.7500) (multiplicity 4)  4 C 1.97-1.98
C (0.0000, 0.0000, 0.0000) (multiplicity 4)  4 Ta 2.22
C (0.0000, 0.2613, 0.6147) (multiplicity 8)  1 Tc 1.98, 1 Ta 2.07
C (0.0000, 0.4512, 0.2500) (multiplicity 4)  2 Tc 1.97